Compound: Nd2MoSe2O10
Source: Alexandria
Functional: GGA+U
Structure: optimized geometry

abc: 5.459 6.971 12.762
angles: 85.57 83.73 69.96
Fractional coordinates of all 30 atoms:
Nd 0.914 0.113 0.648
Nd 0.831 0.303 0.953
Nd 0.169 0.697 0.047
Nd 0.086 0.887 0.352
Mo 0.636 0.723 0.559
Mo 0.364 0.277 0.441
Se 0.394 0.103 0.131
Se 0.739 0.578 0.223
Se 0.261 0.422 0.777
Se 0.606 0.897 0.869
O 0.819 0.836 0.758
O 0.414 0.719 0.202
O 0.141 0.492 0.905
O 0.854 0.875 0.530
O 0.175 0.526 0.393
O 0.478 0.286 0.566
O 0.646 0.157 0.354
O 0.561 0.667 0.919
O 0.439 0.333 0.081
O 0.183 0.059 0.045
O 0.586 0.281 0.798
O 0.181 0.164 0.242
O 0.118 0.231 0.781
O 0.859 0.508 0.095
O 0.882 0.769 0.219
O 0.817 0.941 0.955
O 0.825 0.474 0.607
O 0.522 0.714 0.434
O 0.146 0.125 0.470
O 0.354 0.843 0.646

Summary:
As for the space group: P-1. The total energy is -206.52 eV for the cell shown. Its total magnetization is 0.000 Bohr magnetons per cell.